Entry 1:
## NaLi2Hg8 (PBE-GGA)

Data for an optimized crystal structure of NaLi2Hg8.

Structure (POSCAR):
```
NaLi2Hg8
1.0
4.3402 0.0000 -1.2345
-0.5069 7.2316 -1.7821
0.0414 -0.9612 8.3926
Na Li Hg
1 2 8
Cartesian
2.1701 0.0000 -0.6172
3.2338 1.9056 3.1224
0.6410 4.3647 2.2537
1.4572 3.0940 5.1233
-0.2032 5.1931 -0.7145
2.4176 3.1764 0.2528
2.4851 6.3194 0.4903
0.5752 1.3250 2.0222
3.2996 4.9453 3.3539
1.3896 -0.0490 4.8858
4.0780 1.0773 6.0906
```

Summary:
energy above the lowest structure with this stoichiometry	0.000	eV per atom
space group	No. 12
formation enthalpy at 0 K	-193	meV/atom

Entry 2:
## NaLiHg5 (PBE-GGA)

Data for an optimized crystal structure of NaLiHg5.

Structure (POSCAR):
```
NaLiHg5
1.0
-3.2133 3.3874 -0.4260
-1.0160 -1.5076 -4.3216
-10.8152 -9.5212 5.8636
Hg Na Li
10 2 2
Cartesian
-11.3155 -6.8567 5.0481
-13.4283 -5.9178 2.6760
-3.7289 -0.7847 -3.9320
-6.9249 -3.5985 -2.1986
-1.6161 -1.7236 -1.5600
-3.7215 -3.8841 -2.8526
-8.1195 -4.0430 3.3146
-10.2325 -3.1036 0.9429
-4.8119 -4.5378 0.1731
-11.3229 -3.7574 3.9686
-4.8201 -1.4366 -0.9048
-10.2243 -6.2048 2.0209
0.0000 0.0000 0.0000
-5.4076 -4.7606 2.9318
```

Summary:
space group	No. 63
formation enthalpy at 0 K	-194	meV/atom

Entry 3:
## Na12LiHg3 (PBE-GGA)

Data for an optimized crystal structure of Na12LiHg3.

Structure (POSCAR):
```
Na12LiHg3
1.0
-1.6799 -0.3314 -4.6200
-1.4665 -4.6236 0.8649
-17.4850 6.6460 5.8811
Na Hg Li
12 3 1
Cartesian
-11.7297 3.9735 1.3528
-6.0415 -0.7791 -0.3747
-15.9939 5.5943 2.7870
-7.3285 0.1950 2.6507
-10.3157 0.8455 1.0630
-14.5899 2.4701 2.5006
-15.8872 3.4482 5.5294
-3.0643 -1.4258 1.2165
-11.6231 1.8274 4.0952
-1.5732 -2.4775 -1.8776
-3.1710 0.7204 -1.5259
-7.4352 2.3411 -0.0917
-13.0222 4.9497 4.3800
-4.4628 1.6963 1.5011
-8.7425 3.3230 2.9405
0.0000 0.0000 0.0000
```

Summary:
space group	No. 123
formation enthalpy at 0 K	-92	meV/atom

Entry 4:
## NaLi2Hg (PBE-GGA)

Data for an optimized crystal structure of NaLi2Hg.

Structure (POSCAR):
```
NaLi2Hg
1.0
5.6347 -1.8593 2.9401
-1.8982 5.6217 -2.9401
0.2647 -3.9994 5.2711
Li Hg Na
2 1 1
Cartesian
4.3020 -4.2724 5.9878
1.5974 -1.5864 2.2233
2.9497 -2.9294 4.1056
0.0000 0.0000 0.0000
```

Summary:
space group	No. 71
formation enthalpy at 0 K	-44	meV/atom

The lowest formation enthalpy at 0 K belongs to which entry?
NaLiHg5

What is the formula in the third record?
Na12LiHg3

What did the third record say?
## Na12LiHg3 (PBE-GGA)

Data for an optimized crystal structure of Na12LiHg3.

Structure (POSCAR):
```
Na12LiHg3
1.0
-1.6799 -0.3314 -4.6200
-1.4665 -4.6236 0.8649
-17.4850 6.6460 5.8811
Na Hg Li
12 3 1
Cartesian
-11.7297 3.9735 1.3528
-6.0415 -0.7791 -0.3747
-15.9939 5.5943 2.7870
-7.3285 0.1950 2.6507
-10.3157 0.8455 1.0630
-14.5899 2.4701 2.5006
-15.8872 3.4482 5.5294
-3.0643 -1.4258 1.2165
-11.6231 1.8274 4.0952
-1.5732 -2.4775 -1.8776
-3.1710 0.7204 -1.5259
-7.4352 2.3411 -0.0917
-13.0222 4.9497 4.3800
-4.4628 1.6963 1.5011
-8.7425 3.3230 2.9405
0.0000 0.0000 0.0000
```

Summary:
space group	No. 123
formation enthalpy at 0 K	-92	meV/atom